Computed, not measured: a relaxed structure of Th4BiSbTe2 at the PBE level of DFT.

ΔE_f (raw)	-0.867	eV per atom
V	520	Å³ per cell

Cell: 6.3855 6.3855 12.7469 Å, 90.00 90.00 90.00°
With the nearest neighbours (Å) after each atom.
Space group I-4m2 (No. 119)
Unique sites:
Th1 0.0000 0.0000 0.2465 (multiplicity 4)  3 Te 3.14-3.19, 2 Sb 3.19, 1 Bi 3.23
Th2 0.0000 0.5000 0.0018 (multiplicity 4)  1 Sb 3.16, 2 Bi 3.19, 3 Te 3.19-3.21
Bi1 0.0000 0.0000 0.5000 (multiplicity 2)  6 Th 3.19-3.23
Sb1 0.0000 0.5000 0.2500 (multiplicity 2)  6 Th 3.16-3.19
Te1 0.0000 0.0000 0.0000 (multiplicity 2)  6 Th 3.14-3.19
Te2 0.0000 0.5000 0.7500 (multiplicity 2)  6 Th 3.19-3.21

Computed, not measured: a relaxed structure of Th4Bi2SbTe at the PBE level of DFT.

ΔE_f (raw)	-0.765	eV per atom
V	265	Å³ per cell

Cell: 7.8485 4.5565 7.8725 Å, 90.00 109.65 90.00°
With the nearest neighbours (Å) after each atom.
Space group P2/m (No. 10)
Unique sites:
Th1 0.2453 0.0000 0.2377 (multiplicity 2)  2 Sb 3.16, 1 Te 3.16, 3 Bi 3.26-3.27
Th2 0.2540 0.5000 0.7627 (multiplicity 2)  1 Sb 3.16, 2 Te 3.16, 3 Bi 3.27
Bi1 0.0000 0.0000 0.5000 (multiplicity 1)  6 Th 3.26-3.27
Bi2 0.5000 0.5000 0.5000 (multiplicity 1)  6 Th 3.27
Sb1 0.0000 0.5000 0.0000 (multiplicity 1)  6 Th 3.16
Te1 0.5000 0.0000 0.0000 (multiplicity 1)  6 Th 3.16

Computed, not measured: a relaxed structure of Th4BiSb2Te at the PBE level of DFT.

ΔE_f (raw)	-0.846	eV per atom
V	523	Å³ per cell

Cell: 6.3960 6.3960 12.7911 Å, 90.00 90.00 90.00°
With the nearest neighbours (Å) after each atom.
Space group Imm2 (No. 44)
Unique sites:
Th1 0.0000 0.0000 0.0000 (multiplicity 2)  3 Sb 3.14-3.20, 2 Te 3.20, 1 Bi 3.26
Th2 0.0000 0.0000 0.4905 (multiplicity 2)  3 Sb 3.14-3.20, 2 Te 3.20, 1 Bi 3.26
Th3 0.0000 0.5000 0.2469 (multiplicity 2)  3 Sb 3.17-3.20, 2 Bi 3.20, 1 Te 3.23
Th4 0.0000 0.5000 0.7426 (multiplicity 2)  3 Sb 3.17-3.20, 2 Bi 3.20, 1 Te 3.23
Bi1 0.0000 0.0000 0.7453 (multiplicity 2)  6 Th 3.20-3.26
Sb1 0.0000 0.0000 0.2452 (multiplicity 2)  6 Th 3.14-3.20
Sb2 0.0000 0.5000 0.4948 (multiplicity 2)  6 Th 3.17-3.20
Te1 0.0000 0.5000 0.9948 (multiplicity 2)  6 Th 3.20-3.23

Computed, not measured: a relaxed structure of TiBiSbTe2 at the PBE level of DFT.

ΔE_f (raw)	0.094	eV per atom
V	152	Å³ per cell
relative energy among the computed polymorphs	0.0	meV/atom

Cell: 5.2952 5.2952 5.4138 Å, 90.00 90.00 90.00°
With the nearest neighbours (Å) after each atom.
Space group P4/mmm (No. 123)
Unique sites:
Ti1 0.0000 0.0000 0.0000 (multiplicity 1)  4 Te 2.65, 2 Sb 2.71
Bi1 0.5000 0.5000 0.5000 (multiplicity 1)  4 Sb 3.74, 8 Te 3.79
Sb1 0.0000 0.0000 0.5000 (multiplicity 1)  2 Ti 2.71
Te1 0.0000 0.5000 0.0000 (multiplicity 2)  2 Ti 2.65

Computed, not measured: a relaxed structure of TlBiSb2Te at the PBE level of DFT.

ΔE_f (raw)	0.556	eV per atom
V	210	Å³ per cell
relative energy among the computed polymorphs	0.0	meV/atom

Cell: 5.8647 5.8647 6.1084 Å, 90.00 90.00 90.00°
With the nearest neighbours (Å) after each atom.
Space group P4/mmm (No. 123)
Unique sites:
Tl1 0.0000 0.0000 0.0000 (multiplicity 1)  4 Te 4.15, 8 Sb 4.23
Bi1 0.5000 0.5000 0.5000 (multiplicity 1)  4 Sb 2.93, 2 Te 3.05
Sb1 0.0000 0.5000 0.5000 (multiplicity 2)  2 Bi 2.93
Te1 0.5000 0.5000 0.0000 (multiplicity 1)  2 Bi 3.05

Computed, not measured: a relaxed structure of Tl3BiSb2Te6 at the PBE level of DFT.

ΔE_f (raw)	-0.257	eV per atom
V	844	Å³ per cell

Cell: 7.8378 13.5617 8.3591 Å, 90.00 108.20 90.00°
With the nearest neighbours (Å) after each atom.
Space group C2/m (No. 12)
Unique sites:
Tl1 0.0000 0.0000 0.0000 (multiplicity 2)  6 Te 3.41-3.45
Tl2 0.0000 0.3360 0.0000 (multiplicity 4)  6 Te 3.42-3.45
Bi1 0.0000 0.5000 0.5000 (multiplicity 2)  6 Te 3.17-3.18
Sb1 0.0000 0.1670 0.5000 (multiplicity 4)  6 Te 3.11-3.12
Te1 0.2333 0.0000 0.7175 (multiplicity 4)  2 Sb 3.11, 1 Bi 3.17, 3 Tl 3.41-3.44
Te2 0.2428 0.3305 0.7194 (multiplicity 8)  2 Sb 3.12, 1 Bi 3.18, 3 Tl 3.42-3.45